{
  "formula": "NpMn2Rh",
  "functional": "PBE",
  "state": "optimized geometry",
  "spacegroup": "No. 123",
  "e_form_ev_per_atom": 0.078,
  "density_kg_m3": 11586,
  "vol_a3_per_cell": 64.5,
  "relative_energy_ev_per_atom": 0.1645,
  "lattice": [[2.986, 0.000, 0.000], [0.000, 2.986, 0.000], [0.000, 0.000, 7.228]],
  "species": ["Np", "Mn", "Mn", "Rh"],
  "frac_coords": [[0.500, 0.500, 0.500], [0.000, 0.000, 0.215], [0.000, 0.000, 0.785], [0.500, 0.500, 0.000]]
}